## KHPbI2 (SCAN)

Data for KHPbI2 at its PBEsol-relaxed geometry.

Output
Space group = P4/mmm, No. 123
Energy = -158.6 eV per formula unit
DOS at the Fermi energy = 3.3 states/eV/cell

Cell: 6.3252 6.3252 6.3326 Å, 90.00 90.00 90.00°
With the nearest neighbours (Å) after each atom.
Atoms (fractional coordinates):
K1 0.0000 0.0000 0.0000  4 I 3.16, 2 Pb 3.17
H1 0.5000 0.5000 0.5000  4 Pb 4.47, 8 I 4.48
Pb1 0.0000 0.0000 0.5000  2 K 3.17
I1 0.0000 0.5000 0.0000  2 K 3.16
I2 0.5000 0.0000 0.0000  2 K 3.16

---

## KSb2HI (SCAN)

Data for KSb2HI at its PBEsol-relaxed geometry.

Output
Space group = P4/mmm, No. 123
Energy above the lowest structure with this stoichiometry = 539 kJ/mol of formula units

Cell: 7.4901 7.4901 6.3935 Å, 90.00 90.00 90.00°
With the nearest neighbours (Å) after each atom.
Atoms (fractional coordinates):
K1 0.0000 0.0000 0.0000  2 I 3.20
Sb1 0.0000 0.5000 0.0000  2 K 3.75
Sb2 0.5000 0.0000 0.0000  2 K 3.75
H1 0.5000 0.5000 0.5000  8 Sb 4.92, 4 I 5.30
I1 0.0000 0.0000 0.5000  2 K 3.20

---

## KSb2HI (SCAN)

Data for KSb2HI at its PBEsol-relaxed geometry.

Output
Space group = P4/mmm, No. 123
Energy above the lowest structure with this stoichiometry = 0 kJ/mol of formula units
DOS at the Fermi energy = 2.4 states/eV/cell

Cell: 4.4818 4.4818 6.9297 Å, 90.00 90.00 90.00°
With the nearest neighbours (Å) after each atom.
Atoms (fractional coordinates):
K1 0.0000 0.0000 0.0000  4 I 3.17
Sb1 0.0000 0.5000 0.5000  2 H 2.24
Sb2 0.5000 0.0000 0.5000  2 H 2.24
H1 0.5000 0.5000 0.5000  4 Sb 2.24
I1 0.5000 0.5000 0.0000  4 K 3.17, 2 H 3.46

---

## LaH2I2 (SCAN)

Data for LaH2I2 at its PBEsol-relaxed geometry.

Output
Space group = P4/mbm, No. 127
Energy = -125.4 eV per formula unit
DOS at the Fermi energy = 6.3 states/eV/cell

Cell: 6.8132 6.8132 4.3492 Å, 90.00 90.00 90.00°
With the nearest neighbours (Å) after each atom.
Atoms (fractional coordinates):
La1 0.0000 0.0000 0.0000  4 H 2.53
La2 0.5000 0.5000 0.0000  4 H 2.53
H1 0.1698 0.3302 0.0000  2 La 2.53, 2 I 2.67
H2 0.3302 0.8302 0.0000  2 La 2.53, 2 I 2.67
H3 0.6698 0.1698 0.0000  2 La 2.53, 2 I 2.67
H4 0.8302 0.6698 0.0000  2 La 2.53, 2 I 2.67
I1 0.1698 0.6698 0.5000  2 H 2.67
I2 0.3302 0.1698 0.5000  2 H 2.67
I3 0.6698 0.8302 0.5000  2 H 2.67
I4 0.8302 0.3302 0.5000  2 H 2.67

---

## LaH3I (SCAN)

Data for LaH3I at its PBEsol-relaxed geometry.

Output
Space group = Pm-3m, No. 221
Energy = -86.9 eV per formula unit
DOS at the Fermi energy = 1.2 states/eV/cell

Cell: 4.2311 4.2311 4.2311 Å, 90.00 90.00 90.00°
With the nearest neighbours (Å) after each atom.
Atoms (fractional coordinates):
La1 0.0000 0.0000 0.0000  12 H 2.99
H1 0.0000 0.5000 0.5000  2 I 2.12
H2 0.5000 0.0000 0.5000  2 I 2.12
H3 0.5000 0.5000 0.0000  2 I 2.12
I1 0.5000 0.5000 0.5000  6 H 2.12

---

## LaVH2I4O15 (SCAN)

Data for LaVH2I4O15 at its PBEsol-relaxed geometry.

Output
Space group = P2_1, No. 4
Energy = -335.5 eV per formula unit
DOS at the Fermi energy = 0.0 states/eV/cell

Cell: 6.9319 14.0903 7.0609 Å, 90.00 115.07 90.00°
With the nearest neighbours (Å) after each atom.
Atoms (fractional coordinates):
La1 0.0658 0.0000 0.4438  8 O 2.37-2.60
La2 0.9342 0.5000 0.5562  8 O 2.37-2.60
V1 0.4277 0.3298 0.2123  2 O 1.65-1.66
V2 0.5723 0.8298 0.7877  2 O 1.65-1.66
H1 0.0909 0.6979 0.2806  1 O 1.01
H2 0.3224 0.7217 0.4235  1 O 1.01
H3 0.6776 0.2217 0.5765  1 O 1.01
H4 0.9091 0.1979 0.7194  1 O 1.01
I1 0.1394 0.8661 0.9814  3 O 1.83
I2 0.2655 0.5533 0.1371  3 O 1.81-1.91
I3 0.2661 0.2487 0.7046  3 O 1.80-1.86
I4 0.4491 0.0960 0.2409  3 O 1.80-1.89
I5 0.5509 0.5960 0.7591  3 O 1.80-1.89
I6 0.7339 0.7487 0.2954  3 O 1.80-1.86
I7 0.7345 0.0533 0.8629  3 O 1.81-1.91
I8 0.8606 0.3661 0.0186  3 O 1.83
O1 0.0524 0.5971 0.8996  1 I 1.81
O2 0.0681 0.1540 0.6070  1 H 1.72, 1 I 1.83
O3 0.0683 0.9650 0.7957  1 I 1.83
O4 0.0768 0.3444 0.6035  1 I 1.80
O5 0.2273 0.7145 0.2693  2 H 1.01
O6 0.2406 0.9386 0.2180  1 I 1.83
O7 0.2432 0.4290 0.0215  1 I 1.91, 1 V 1.99
O8 0.2517 0.2458 0.9618  1 I 1.86, 1 V 2.05
O9 0.2733 0.3071 0.3309  1 V 1.65
O10 0.3108 0.5270 0.6347  1 I 1.80
O11 0.3754 0.0998 0.4619  1 I 1.84
O12 0.3908 0.9068 0.6373  1 V 1.66
O13 0.4022 0.8332 0.9996  1 I 1.83
O14 0.4061 0.7135 0.6870  1 H 1.70, 1 I 1.89
O15 0.4926 0.5972 0.0952  1 I 1.83
O16 0.5074 0.0972 0.9048  1 I 1.83
O17 0.5939 0.2135 0.3130  1 H 1.70, 1 I 1.89
O18 0.5978 0.3332 0.0004  1 I 1.83
O19 0.6092 0.4068 0.3627  1 V 1.66
O20 0.6246 0.5998 0.5381  1 I 1.84
O21 0.6892 0.0270 0.3653  1 I 1.80
O22 0.7267 0.8071 0.6691  1 V 1.65
O23 0.7483 0.7458 0.0382  1 I 1.86, 1 V 2.05
O24 0.7568 0.9290 0.9785  1 I 1.91, 1 V 1.99
O25 0.7594 0.4386 0.7820  1 I 1.83
O26 0.7727 0.2145 0.7307  2 H 1.01
O27 0.9232 0.8444 0.3965  1 I 1.80
O28 0.9317 0.4650 0.2043  1 I 1.83
O29 0.9319 0.6540 0.3930  1 H 1.72, 1 I 1.83
O30 0.9476 0.0971 0.1004  1 I 1.81